# 1
Below is an optimized crystal structure of YBeGa, with properties calculated at the GGA-PBE level.

Cell lengths 5.514, 5.514, 5.514 Å; angles 134.39, 98.59, 98.69 degrees
Sites, in units of the cell vectors:
Y  0.227  0.250  0.477
Y  0.773  0.750  0.523
Be  0.635  0.959  0.176
Be  0.783  0.459  0.824
Ga  0.179  0.531  0.149
Ga  0.382  0.031  0.851

Energy relative to the elements: -0.3539 eV per atom
Polymorph energy (0 for the lowest one): 80 meV/atom



# 2
Below is an optimized crystal structure of YBeGa, with properties calculated at the GGA-PBE level.

Cell lengths 4.581, 4.581, 5.813 Å; angles 90.00, 90.00, 118.68 degrees
Sites, in units of the cell vectors:
Y  0.163  0.837  0.750
Y  0.837  0.163  0.250
Be  0.175  0.825  0.250
Be  0.825  0.175  0.750
Ga  0.500  0.500  0.000
Ga  0.500  0.500  0.500

Energy relative to the elements: -0.1834 eV per atom
Polymorph energy (0 for the lowest one): 251 meV/atom



# 3
Below is an optimized crystal structure of YBeGa, with properties calculated at the GGA-PBE level.

Cell lengths 4.743, 4.743, 5.811 Å; angles 90.00, 90.00, 120.00 degrees
Sites, in units of the cell vectors:
Y  0.333  0.667  0.250
Y  0.667  0.333  0.750
Be  0.000  0.000  0.000
Be  0.000  0.000  0.500
Ga  0.333  0.667  0.750
Ga  0.667  0.333  0.250

Energy relative to the elements: -0.0665 eV per atom
Polymorph energy (0 for the lowest one): 368 meV/atom



# 4
Below is an optimized crystal structure of YBeGa, with properties calculated at the GGA-PBE level.

Cell lengths 7.616, 7.616, 7.616 Å; angles 149.58, 149.58, 43.55 degrees
Sites, in units of the cell vectors:
Y  0.000  0.000  0.000
Y  0.750  0.250  0.500
Be  0.172  0.672  0.500
Be  0.328  0.828  0.500
Ga  0.409  0.409  0.000
Ga  0.591  0.591  0.000

Energy relative to the elements: -0.3838 eV per atom
Polymorph energy (0 for the lowest one): 50 meV/atom



# 5
Below is an optimized crystal structure of YBeGa, with properties calculated at the GGA-PBE level.

Cell lengths 4.170, 4.170, 3.666 Å; angles 90.00, 90.00, 120.00 degrees
Sites, in units of the cell vectors:
Y  0.000  0.000  0.000
Be  0.333  0.667  0.500
Ga  0.667  0.333  0.500

Energy relative to the elements: -0.4243 eV per atom
Polymorph energy (0 for the lowest one): 10 meV/atom



# 6
Below is an optimized crystal structure of YBeGa, with properties calculated at the GGA-PBE level.

Cell lengths 5.436, 3.912, 10.711 Å; angles 90.00, 90.00, 90.00 degrees
Sites, in units of the cell vectors:
Y  0.132  0.250  0.145
Y  0.368  0.750  0.645
Y  0.632  0.250  0.355
Y  0.868  0.750  0.855
Be  0.114  0.750  0.348
Be  0.386  0.250  0.848
Be  0.614  0.750  0.152
Be  0.886  0.250  0.652
Ga  0.151  0.250  0.463
Ga  0.349  0.750  0.963
Ga  0.651  0.250  0.037
Ga  0.849  0.750  0.537

Energy relative to the elements: -0.2351 eV per atom
Polymorph energy (0 for the lowest one): 199 meV/atom



# 7
Below is an optimized crystal structure of YBeGa, with properties calculated at the GGA-PBE level.

Cell lengths 7.699, 7.699, 7.699 Å; angles 152.12, 148.17, 42.81 degrees
Sites, in units of the cell vectors:
Y  0.388  0.138  0.250
Y  0.612  0.862  0.750
Be  0.038  0.288  0.750
Be  0.962  0.712  0.250
Ga  0.200  0.450  0.750
Ga  0.800  0.550  0.250

Energy relative to the elements: -0.3491 eV per atom
Polymorph energy (0 for the lowest one): 85 meV/atom



# 8
Below is an optimized crystal structure of YBeGa, with properties calculated at the GGA-PBE level.

Cell lengths 6.005, 4.362, 8.262 Å; angles 90.00, 90.00, 90.00 degrees
Sites, in units of the cell vectors:
Y  0.180  0.250  0.085
Y  0.320  0.750  0.585
Y  0.680  0.250  0.415
Y  0.820  0.750  0.915
Be  0.138  0.250  0.421
Be  0.362  0.750  0.921
Be  0.638  0.250  0.079
Be  0.862  0.750  0.579
Ga  0.013  0.250  0.710
Ga  0.487  0.750  0.210
Ga  0.513  0.250  0.790
Ga  0.987  0.750  0.290

Energy relative to the elements: -0.2273 eV per atom
Polymorph energy (0 for the lowest one): 207 meV/atom



# 9
Below is an optimized crystal structure of YBe2Ga2, with properties calculated at the GGA-PBE level.

Cell lengths 7.269, 7.269, 3.007 Å; angles 90.00, 90.00, 90.00 degrees
Sites, in units of the cell vectors:
Y  0.000  0.000  0.000
Y  0.500  0.500  0.000
Be  0.113  0.387  0.000
Be  0.387  0.887  0.000
Be  0.613  0.113  0.000
Be  0.887  0.613  0.000
Ga  0.169  0.669  0.500
Ga  0.331  0.169  0.500
Ga  0.669  0.831  0.500
Ga  0.831  0.331  0.500

Energy relative to the elements: 0.0410 eV per atom
Polymorph energy (0 for the lowest one): 423 meV/atom



# 10
Below is an optimized crystal structure of YBeGa, with properties calculated at the GGA-PBE level.

Cell lengths 3.679, 4.147, 7.284 Å; angles 90.00, 90.00, 90.00 degrees
Sites, in units of the cell vectors:
Y  0.000  0.000  0.000
Y  0.000  0.500  0.500
Be  0.500  0.000  0.343
Be  0.500  0.000  0.657
Ga  0.500  0.500  0.179
Ga  0.500  0.500  0.821

Energy relative to the elements: -0.3971 eV per atom
Polymorph energy (0 for the lowest one): 37 meV/atom



# 11
Below is an optimized crystal structure of Y2BeGa3, with properties calculated at the GGA-PBE level.

Cell lengths 8.422, 8.244, 5.690 Å; angles 71.73, 68.36, 39.91 degrees
Sites, in units of the cell vectors:
Y  0.246  0.754  0.754
Y  0.250  0.250  0.250
Y  0.750  0.750  0.750
Y  0.754  0.246  0.246
Be  0.333  0.333  0.667
Be  0.667  0.667  0.333
Ga  0.173  0.173  0.827
Ga  0.174  0.652  0.348
Ga  0.348  0.826  0.174
Ga  0.652  0.174  0.826
Ga  0.826  0.348  0.652
Ga  0.827  0.827  0.173

Energy relative to the elements: -0.5588 eV per atom



# 12
Below is an optimized crystal structure of Y2BeGa3, with properties calculated at the GGA-PBE level.

Cell lengths 3.856, 4.203, 7.269 Å; angles 90.00, 90.00, 90.00 degrees
Sites, in units of the cell vectors:
Y  0.000  0.000  0.000
Y  0.000  0.500  0.491
Be  0.500  0.000  0.324
Ga  0.500  0.000  0.643
Ga  0.500  0.500  0.177
Ga  0.500  0.500  0.831

Energy relative to the elements: -0.5570 eV per atom



# 13
Below is an optimized crystal structure of YBeGa, with properties calculated at the GGA-PBE level.

Cell lengths 4.434, 4.117, 6.153 Å; angles 90.00, 90.07, 90.00 degrees
Sites, in units of the cell vectors:
Y  0.000  0.250  0.236
Y  0.000  0.750  0.764
Be  0.500  0.000  0.500
Be  0.500  0.500  0.500
Ga  0.500  0.250  0.861
Ga  0.500  0.750  0.139

Energy relative to the elements: -0.2936 eV per atom
Polymorph energy (0 for the lowest one): 140 meV/atom



# 14
Below is an optimized crystal structure of Y2BeGa, with properties calculated at the GGA-PBE level.

Cell lengths 10.433, 10.433, 10.433 Å; angles 19.04, 19.04, 19.04 degrees
Sites, in units of the cell vectors:
Y  0.095  0.095  0.095
Y  0.905  0.905  0.905
Be  0.000  0.000  0.000
Ga  0.500  0.500  0.500

Energy relative to the elements: 0.4860 eV per atom
Polymorph energy (0 for the lowest one): 759 meV/atom



# 15
Below is an optimized crystal structure of YBeGa, with properties calculated at the GGA-PBE level.

Cell lengths 5.580, 5.580, 7.283 Å; angles 130.75, 130.75, 43.56 degrees
Sites, in units of the cell vectors:
Y  0.247  0.247  0.248
Y  0.753  0.753  0.752
Be  0.499  0.499  0.159
Be  0.501  0.501  0.841
Ga  0.001  0.001  0.678
Ga  0.999  0.999  0.322

Energy relative to the elements: -0.4012 eV per atom
Polymorph energy (0 for the lowest one): 33 meV/atom



# 16
Below is an optimized crystal structure of YBeGa, with properties calculated at the GGA-PBE level.

Cell lengths 4.132, 4.132, 6.468 Å; angles 90.00, 90.00, 90.00 degrees
Sites, in units of the cell vectors:
Y  0.250  0.250  0.194
Y  0.750  0.750  0.806
Be  0.250  0.750  0.500
Be  0.750  0.250  0.500
Ga  0.250  0.250  0.706
Ga  0.750  0.750  0.294

Energy relative to the elements: -0.4130 eV per atom
Polymorph energy (0 for the lowest one): 21 meV/atom



# 17
Below is an optimized crystal structure of YBe3Ga, with properties calculated at the GGA-PBE level.

Cell lengths 5.165, 5.165, 5.165 Å; angles 90.00, 90.00, 90.00 degrees
Sites, in units of the cell vectors:
Y  0.000  0.000  0.000
Be  0.000  0.000  0.500
Be  0.000  0.500  0.000
Be  0.500  0.000  0.000
Ga  0.500  0.500  0.500

Energy relative to the elements: 1.8599 eV per atom
Polymorph energy (0 for the lowest one): 1503 meV/atom



# 18
Below is an optimized crystal structure of YBeGa, with properties calculated at the GGA-PBE level.

Cell lengths 4.603, 4.603, 4.603 Å; angles 60.00, 60.00, 60.00 degrees
Sites, in units of the cell vectors:
Y  0.000  0.000  0.000
Be  0.750  0.750  0.750
Ga  0.250  0.250  0.250

Energy relative to the elements: 0.4565 eV per atom
Polymorph energy (0 for the lowest one): 891 meV/atom



# 19
Below is an optimized crystal structure of YBeGa, with properties calculated at the GGA-PBE level.

Cell lengths 4.136, 5.510, 5.660 Å; angles 106.01, 110.15, 99.76 degrees
Sites, in units of the cell vectors:
Y  0.194  0.206  0.365
Y  0.806  0.794  0.635
Be  0.007  0.645  0.181
Be  0.993  0.355  0.819
Ga  0.476  0.767  0.054
Ga  0.524  0.233  0.946

Energy relative to the elements: -0.2948 eV per atom
Polymorph energy (0 for the lowest one): 139 meV/atom



# 20
Below is an optimized crystal structure of Y2BeGa, with properties calculated at the GGA-PBE level.

Cell lengths 4.957, 4.957, 4.957 Å; angles 60.00, 60.00, 60.00 degrees
Sites, in units of the cell vectors:
Y  0.250  0.250  0.250
Y  0.750  0.750  0.750
Be  0.000  0.000  0.000
Ga  0.500  0.500  0.500

Energy relative to the elements: -0.2671 eV per atom
Polymorph energy (0 for the lowest one): 6 meV/atom